# VFeP2O

A relaxed VFeP2O crystal (GGA+U, the Alexandria database).

Cell: 4.8117 4.8117 3.6119 Å, 90.00 90.00 90.00°
With the nearest neighbours (Å) after each atom.
Element x y z (fractional)
O 0.0000 0.0000 0.5000  2 V 1.81
P 0.5000 0.0000 0.0000  2 V 2.41
P 0.0000 0.5000 0.0000  2 V 2.41
Fe 0.5000 0.5000 0.5000  8 P 3.01
V 0.0000 0.0000 0.0000  2 O 1.81

Summary:
Volume, Å³/atom: 16.72
M_tot, μB/f.u.: 4.12
Crystal system: tetragonal
Energy above the lowest structure with this stoichiometry, eV per atom: 0.000